The following is a DFT calculation (PBE with a Hubbard U) of an optimized crystal structure of SrP2WO.

abc: 4.921 4.921 3.951
angles: 90.00 90.00 90.00
Sites, in units of the cell vectors:
Sr: 0.000 0.000 0.000
P: 0.000 0.500 0.500
P: 0.500 0.000 0.500
W: 0.500 0.500 0.500
O: 0.500 0.500 0.000

Values from the calculation:
DOS at the Fermi energy ... 1.33 states/eV/f.u.
Raw total energy ... -5.69 eV/atom
Polymorph energy (0 for the lowest one) ... 0.000 eV/atom